# 1
# PBE-GGA BaPr4Si4, relaxed
data_BaPr4Si4
_chemical_formula_sum 'Ba2 Pr8 Si8'
_symmetry_space_group_name_H-M 'P 1'
_symmetry_Int_Tables_number 1
_cell_length_a 5.9469
_cell_length_b 9.8696
_cell_length_c 9.8696
_cell_angle_alpha 90.00
_cell_angle_beta 90.00
_cell_angle_gamma 90.00
loop_
_symmetry_equiv_pos_as_xyz
'x,y,z'
loop_
_atom_site_label
_atom_site_fract_x
_atom_site_fract_y
_atom_site_fract_z
Si1 0.3825 0.3182 0.1856
Si2 0.1175 0.1818 0.3144
Si3 0.6175 0.8144 0.3182
Si4 0.1175 0.8182 0.6856
Si5 0.8825 0.6856 0.1818
Si6 0.3825 0.6818 0.8144
Si7 0.6175 0.1856 0.6818
Si8 0.8825 0.3144 0.8182
Pr1 0.3756 0.6340 0.1201
Pr2 0.6244 0.8799 0.6340
Pr3 0.1244 0.1340 0.6201
Pr4 0.3756 0.3660 0.8799
Pr5 0.8756 0.6201 0.8660
Pr6 0.6244 0.1201 0.3660
Pr7 0.1244 0.8660 0.3799
Pr8 0.8756 0.3799 0.1340
Ba1 0.5000 0.5000 0.5000
Ba2 0.0000 0.0000 0.0000
# Total magnetic moment: 0.00 μB per formula unit
# Space group: No. 86
# Electronic total energy: -5.19 eV per atom
# N(E_F): 0.6265 states/eV/atom

# 2
# PBE-GGA LiCu2Ir, relaxed
data_LiCu2Ir
_chemical_formula_sum 'Li1 Cu2 Ir1'
_symmetry_space_group_name_H-M 'P 1'
_symmetry_Int_Tables_number 1
_cell_length_a 4.5886
_cell_length_b 4.5886
_cell_length_c 4.5886
_cell_angle_alpha 133.16
_cell_angle_beta 133.16
_cell_angle_gamma 68.41
loop_
_symmetry_equiv_pos_as_xyz
'x,y,z'
loop_
_atom_site_label
_atom_site_fract_x
_atom_site_fract_y
_atom_site_fract_z
Cu1 0.2500 0.7500 0.5000
Cu2 0.0000 0.0000 0.0000
Li1 0.7500 0.2500 0.5000
Ir1 0.5000 0.5000 0.0000
# Calculated formation energy: 0.054 eV per atom
# Polymorph energy (0 for the lowest one): 144 meV per atom
# Total magnetic moment: 0.00 μB per formula unit
# Space group: No. 119
# Electronic total energy: -4.69 eV per atom
# N(E_F): 0.4021 states/eV/atom

# 3
# PBE-GGA Th2ZnCdTc, relaxed
data_Th2ZnCdTc
_chemical_formula_sum 'Th4 Zn2 Cd2 Tc2'
_symmetry_space_group_name_H-M 'P 1'
_symmetry_Int_Tables_number 1
_cell_length_a 4.0681
_cell_length_b 8.0805
_cell_length_c 7.9695
_cell_angle_alpha 109.09
_cell_angle_beta 90.00
_cell_angle_gamma 90.00
loop_
_symmetry_equiv_pos_as_xyz
'x,y,z'
loop_
_atom_site_label
_atom_site_fract_x
_atom_site_fract_y
_atom_site_fract_z
Zn1 0.2500 0.5597 0.6425
Zn2 0.7500 0.4403 0.3575
Cd1 0.7500 0.3287 0.6730
Cd2 0.2500 0.6713 0.3270
Th1 0.2500 0.2799 0.9818
Th2 0.7500 0.7201 0.0182
Th3 0.2500 0.1026 0.3466
Th4 0.7500 0.8974 0.6534
Tc1 0.2500 0.8704 0.8860
Tc2 0.7500 0.1296 0.1140
# Calculated formation energy: -0.152 eV per atom
# Total magnetic moment: 0.00 μB per formula unit
# Space group: No. 11
# Electronic total energy: -5.63 eV per atom
# N(E_F): 0.7914 states/eV/atom

# 4
# PBE-GGA Sm2NpPaSb4, relaxed
data_Sm2NpPaSb4
_chemical_formula_sum 'Sm2 Np1 Pa1 Sb4'
_symmetry_space_group_name_H-M 'P 1'
_symmetry_Int_Tables_number 1
_cell_length_a 4.4174
_cell_length_b 7.6330
_cell_length_c 7.7126
_cell_angle_alpha 109.34
_cell_angle_beta 90.00
_cell_angle_gamma 90.00
loop_
_symmetry_equiv_pos_as_xyz
'x,y,z'
loop_
_atom_site_label
_atom_site_fract_x
_atom_site_fract_y
_atom_site_fract_z
Sb1 0.0000 0.7465 0.2447
Sb2 0.5000 0.2498 0.2446
Sb3 0.5000 0.7502 0.7554
Sb4 0.0000 0.2535 0.7553
Sm1 0.0000 0.5000 0.5000
Sm2 0.5000 0.0000 0.5000
Pa1 0.5000 0.5000 0.0000
Np1 0.0000 0.0000 0.0000
# Total magnetic moment: 4.97 μB per formula unit
# Space group: No. 10
# Electronic total energy: -6.80 eV per atom
# N(E_F): 1.8836 states/eV/atom

# 5
# PBE-GGA TeIr2Ru, relaxed
data_TeIr2Ru
_chemical_formula_sum 'Te1 Ir2 Ru1'
_symmetry_space_group_name_H-M 'P 1'
_symmetry_Int_Tables_number 1
_cell_length_a 4.7919
_cell_length_b 4.7919
_cell_length_c 2.8704
_cell_angle_alpha 90.00
_cell_angle_beta 90.00
_cell_angle_gamma 90.00
loop_
_symmetry_equiv_pos_as_xyz
'x,y,z'
loop_
_atom_site_label
_atom_site_fract_x
_atom_site_fract_y
_atom_site_fract_z
Te1 0.0000 0.5000 0.5000
Ir1 0.0000 0.0000 0.0000
Ir2 0.5000 0.5000 0.0000
Ru1 0.5000 0.0000 0.5000
# Total magnetic moment: 0.00 μB per formula unit
# Space group: No. 123
# Electronic total energy: -6.94 eV per atom
# N(E_F): 1.4272 states/eV/atom

# 6
# PBE-GGA TbPr5Nd12, relaxed
data_TbPr5Nd12
_chemical_formula_sum 'Tb1 Pr5 Nd12'
_symmetry_space_group_name_H-M 'P 1'
_symmetry_Int_Tables_number 1
_cell_length_a 11.0659
_cell_length_b 11.0576
_cell_length_c 6.3780
_cell_angle_alpha 73.37
_cell_angle_beta 90.00
_cell_angle_gamma 59.98
loop_
_symmetry_equiv_pos_as_xyz
'x,y,z'
loop_
_atom_site_label
_atom_site_fract_x
_atom_site_fract_y
_atom_site_fract_z
Tb1 0.0000 0.0000 0.0000
Nd1 0.3322 0.6683 0.9988
Nd2 0.8340 0.6665 0.5009
Nd3 0.5004 0.3335 0.4991
Nd4 0.1660 0.3335 0.4991
Nd5 0.0003 0.3317 0.0011
Nd6 0.8345 0.0000 0.4997
Nd7 0.6682 0.0001 0.9997
Nd8 0.9997 0.6683 0.9989
Nd9 0.1655 0.0000 0.5003
Nd10 0.6678 0.3317 0.0012
Nd11 0.3318 0.9999 0.0003
Nd12 0.4996 0.6665 0.5009
Pr1 0.5000 0.0000 0.5000
Pr2 0.6667 0.6667 0.0009
Pr3 0.8340 0.3318 0.5024
Pr4 0.1660 0.6682 0.4976
Pr5 0.3333 0.3333 0.9991
# Calculated formation energy: 0.013 eV per atom
# Total magnetic moment: 0.00 μB per formula unit
# Space group: No. 12
# Electronic total energy: -4.75 eV per atom
# N(E_F): 1.4960 states/eV/atom

# 7
# PBE-GGA Cs4La3CdO8, relaxed
data_Cs4La3CdO8
_chemical_formula_sum 'Cs4 La3 Cd1 O8'
_symmetry_space_group_name_H-M 'P 1'
_symmetry_Int_Tables_number 1
_cell_length_a 7.3784
_cell_length_b 8.0834
_cell_length_c 7.5425
_cell_angle_alpha 116.73
_cell_angle_beta 119.28
_cell_angle_gamma 90.00
loop_
_symmetry_equiv_pos_as_xyz
'x,y,z'
loop_
_atom_site_label
_atom_site_fract_x
_atom_site_fract_y
_atom_site_fract_z
O1 0.7812 0.3295 0.0521
O2 0.2799 0.3307 0.5598
O3 0.2433 0.6870 0.4866
O4 0.2188 0.6705 0.9479
O5 0.7201 0.6693 0.4402
O6 0.2709 0.3295 0.0521
O7 0.7291 0.6705 0.9479
O8 0.7567 0.3130 0.5134
Cs1 0.5000 0.0000 0.5000
Cs2 0.0000 0.0000 0.5000
Cs3 0.5000 0.0000 0.0000
Cs4 0.0000 0.0000 0.0000
La1 0.5000 0.5000 0.5000
La2 0.5000 0.5000 0.0000
La3 0.0000 0.5000 0.5000
Cd1 0.0000 0.5000 0.0000
# Total magnetic moment: 1.18 μB per formula unit
# Space group: No. 12
# Electronic total energy: -5.78 eV per atom
# N(E_F): 0.8613 states/eV/atom

# 8
# PBE-GGA RbCeSiSe4, relaxed
data_RbCeSiSe4
_chemical_formula_sum 'Rb2 Ce2 Si2 Se8'
_symmetry_space_group_name_H-M 'P 1'
_symmetry_Int_Tables_number 1
_cell_length_a 6.8292
_cell_length_b 7.0006
_cell_length_c 9.5406
_cell_angle_alpha 90.00
_cell_angle_beta 108.02
_cell_angle_gamma 90.00
loop_
_symmetry_equiv_pos_as_xyz
'x,y,z'
loop_
_atom_site_label
_atom_site_fract_x
_atom_site_fract_y
_atom_site_fract_z
Ce1 0.2322 0.2500 0.5502
Ce2 0.7678 0.7500 0.4498
Si1 0.2122 0.7500 0.3243
Si2 0.7878 0.2500 0.6757
Se1 0.0086 0.5054 0.7151
Se2 0.4056 0.7500 0.5675
Se3 0.5944 0.2500 0.4325
Se4 0.4086 0.7500 0.1711
Se5 0.0086 0.9946 0.7151
Se6 0.5914 0.2500 0.8289
Se7 0.9914 0.0054 0.2849
Se8 0.9914 0.4946 0.2849
Rb1 0.7367 0.7500 0.9360
Rb2 0.2633 0.2500 0.0640
# Total magnetic moment: 1.00 μB per formula unit
# Space group: No. 11
# Electronic total energy: -4.96 eV per atom
# N(E_F): 1.1734 states/eV/atom

> What is the total magnetic moment in the eighth record?

1.00 μB per formula unit

> electronic total energy of number 1 (BaPr4Si4)?

-5.19 eV per atom

> Look up the N(E_F) of the second one.

0.4021 states/eV/atom